(1)
ZrGa3Ru: optimized geometry, PBE.

## Properties
DOS at the Fermi energy: 1.39 states/eV per atom
Magnetization: 0.00 Bohr magnetons per cell

```
ZrGa3Ru
1.0
-1.928 -0.463 4.342
1.752 -4.429 0.306
3.999 1.718 1.959
Ga Ru Zr
3 1 1
Cartesian
-0.964 -0.231 2.171
0.876 -2.215 0.153
2.000 0.859 0.980
0.000 0.000 0.000
1.912 -1.587 3.304
```

(2)
ZrGa3Ru: optimized geometry, PBE.

## Properties
DOS at the Fermi energy: 2.26 states/eV per atom
Magnetization: 2.03 Bohr magnetons per cell

```
ZrGa3Ru
1.0
4.985 0.000 0.000
0.000 4.985 0.000
0.000 0.000 4.985
Zr Ga Ru
1 3 1
Cartesian
0.000 0.000 0.000
0.000 2.492 0.000
2.492 0.000 0.000
0.000 0.000 2.492
2.492 2.492 2.492
```

Each structure's energy above the most stable one, in meV per atom: (1) 0; (2) 1130.

(1)
ZrGaRu3: optimized geometry, PBE.

## Properties
DOS at the Fermi energy: 0.95 states/eV per atom
Magnetization: 2.99 Bohr magnetons per cell

```
ZrGaRu3
1.0
4.789 0.000 0.000
0.000 4.789 0.000
0.000 0.000 4.789
Zr Ru Ga
1 3 1
Cartesian
0.000 0.000 0.000
2.394 0.000 0.000
0.000 2.394 0.000
0.000 0.000 2.394
2.394 2.394 2.394
```

(2)
ZrGaRu3: optimized geometry, PBE.

## Properties
DOS at the Fermi energy: 0.85 states/eV per atom
Magnetization: 0.00 Bohr magnetons per cell

```
ZrGaRu3
1.0
4.560 0.000 0.000
0.000 4.560 0.000
0.000 0.000 4.560
Zr Ru Ga
1 3 1
Cartesian
2.280 2.280 2.280
0.000 0.000 2.280
2.280 0.000 0.000
0.000 2.280 0.000
0.000 0.000 0.000
```

Each structure's energy above the most stable one, in meV per atom: (1) 951; (2) 0.

(1)
GaS4: optimized geometry, PBE.

## Properties
DOS at the Fermi energy: 0.37 states/eV per atom
Magnetization: 0.00 Bohr magnetons per cell

```
GaS4
1.0
-2.570 2.532 -1.694
0.378 -5.410 -5.977
-5.715 -2.122 6.863
S Ga
8 2
Cartesian
-2.201 -3.460 -0.577
-7.713 -2.758 1.557
-4.523 -2.104 -0.690
-1.852 0.793 -0.645
-6.465 -0.437 4.692
-2.648 -0.831 2.348
-3.754 -2.550 2.670
-1.006 -2.027 -3.157
-5.978 -1.908 3.010
-1.579 -1.432 0.401
```

(2)
GaS4: optimized geometry, PBE.

## Properties
DOS at the Fermi energy: 0.85 states/eV per atom
Magnetization: 0.00 Bohr magnetons per cell

```
GaS4
1.0
-4.316 1.330 -1.188
-1.756 -2.635 3.433
0.307 3.619 2.935
S Ga
4 1
Cartesian
-0.724 0.492 3.184
-2.004 2.475 0.874
-3.036 -0.652 1.122
0.000 0.000 0.000
-2.883 1.157 2.590
```

Each structure's energy above the most stable one, in meV per atom: (1) 0; (2) 902.

(1)
Ga2SbS: optimized geometry, PBE.

## Properties
DOS at the Fermi energy: 0.49 states/eV per atom
Magnetization: 0.00 Bohr magnetons per cell

```
Ga2SbS
1.0
5.980 0.000 0.000
0.000 5.980 0.000
2.990 2.990 6.182
Ga Sb S
4 2 2
Cartesian
4.485 4.651 4.636
1.661 4.485 1.545
7.476 7.310 4.636
4.320 1.495 1.545
0.000 0.000 0.000
5.980 2.990 3.091
2.990 2.990 0.000
2.990 5.980 3.091
```

(2)
Ga2SbS: optimized geometry, PBE.

## Properties
DOS at the Fermi energy: 0.65 states/eV per atom
Magnetization: 0.00 Bohr magnetons per cell

```
Ga2SbS
1.0
2.818 -1.782 3.619
-2.080 -2.170 3.897
0.420 -4.863 0.624
S Ga Sb
1 2 1
Cartesian
0.000 0.000 0.000
0.869 -6.612 6.105
0.290 -2.204 2.035
0.580 -4.408 4.070
```

Each structure's energy above the most stable one, in meV per atom: (1) 0; (2) 289.

(1)
Ga3SbS: optimized geometry, PBE.

## Properties
DOS at the Fermi energy: 0.48 states/eV per atom
Magnetization: 0.00 Bohr magnetons per cell

```
Ga3SbS
1.0
4.934 0.000 0.000
0.000 4.934 0.000
0.000 0.000 4.934
Sb Ga S
1 3 1
Cartesian
2.467 2.467 2.467
0.000 2.467 0.000
0.000 0.000 2.467
2.467 0.000 0.000
0.000 0.000 0.000
```

(2)
Ga3SbS: optimized geometry, PBE.

## Properties
DOS at the Fermi energy: 0.28 states/eV per atom
Magnetization: 0.00 Bohr magnetons per cell

```
Ga3SbS
1.0
5.379 0.000 0.000
0.000 5.379 0.000
0.000 0.000 5.379
Sb Ga S
1 3 1
Cartesian
0.000 0.000 0.000
2.690 0.000 0.000
0.000 2.690 0.000
0.000 0.000 2.690
2.690 2.690 2.690
```

Each structure's energy above the most stable one, in meV per atom: (1) 0; (2) 345.

(1)
GaSbTe2S: optimized geometry, PBE.

## Properties
DOS at the Fermi energy: 0.88 states/eV per atom
Magnetization: 0.28 Bohr magnetons per cell

```
GaSbTe2S
1.0
5.340 0.000 0.000
0.000 5.340 0.000
0.000 0.000 5.253
Te S Sb Ga
2 1 1 1
Cartesian
0.000 2.670 0.000
2.670 0.000 0.000
0.000 0.000 0.000
0.000 0.000 2.626
2.670 2.670 2.626
```

(2)
GaSbTe2S: optimized geometry, PBE.

## Properties
DOS at the Fermi energy: 1.22 states/eV per atom
Magnetization: 0.00 Bohr magnetons per cell

```
GaSbTe2S
1.0
5.264 0.000 0.000
0.000 5.264 0.000
0.000 0.000 5.396
S Ga Te Sb
1 1 2 1
Cartesian
2.632 2.632 2.698
0.000 0.000 0.000
0.000 2.632 0.000
2.632 0.000 0.000
0.000 0.000 2.698
```

Each structure's energy above the most stable one, in meV per atom: (1) 0; (2) 327.

(1)
Sc2GaS4: optimized geometry, PBE.

## Properties
DOS at the Fermi energy: 0.34 states/eV per atom
Magnetization: 0.00 Bohr magnetons per cell

```
Sc2GaS4
1.0
3.677 0.000 0.000
0.000 6.492 -0.151
-1.838 -3.308 6.199
S Sc Ga
4 2 1
Cartesian
0.000 2.223 4.395
1.838 -1.207 4.613
1.838 0.961 1.654
0.000 4.391 1.435
0.000 -0.107 3.286
1.838 3.291 2.763
0.000 0.000 0.000
```

(2)
Sc2GaS4: optimized geometry, PBE.

## Properties
DOS at the Fermi energy: 0.22 states/eV per atom
Magnetization: 0.00 Bohr magnetons per cell

```
Sc2GaS4
1.0
-1.540 -7.126 -1.585
7.087 2.227 0.661
-4.513 -1.690 11.980
S Sc Ga
16 8 4
Cartesian
1.941 -2.121 7.350
1.198 -5.562 6.584
-0.137 -5.873 0.199
2.658 -3.434 4.075
0.475 -4.282 10.012
-0.163 -1.027 4.472
-3.189 -5.434 9.670
1.172 -0.716 10.858
3.428 -4.839 0.567
-0.906 -4.468 3.706
-2.393 -1.750 10.489
3.501 0.125 4.814
0.560 -2.307 1.045
4.224 -1.155 1.387
-2.466 -6.714 6.242
-1.623 -3.155 6.982
-2.256 -0.845 5.990
-1.513 -2.204 2.599
3.544 1.114 0.331
0.517 -3.294 5.528
-0.770 -3.563 -0.793
0.000 0.000 0.000
-3.026 -4.408 5.198
-4.539 -6.612 7.796
1.232 -0.215 8.550
2.719 -2.934 1.767
-0.198 -6.374 2.506
-1.684 -3.655 9.289
```

Each structure's energy above the most stable one, in meV per atom: (1) 100; (2) 0.

(1)
Sc2GaS: optimized geometry, PBE.

## Properties
DOS at the Fermi energy: 0.84 states/eV per atom
Magnetization: 0.00 Bohr magnetons per cell

```
Sc2GaS
1.0
-3.084 -1.545 -0.645
-0.819 -3.017 1.594
-4.337 2.229 5.850
Ga S Sc
1 1 2
Cartesian
-4.125 -1.161 3.408
-6.930 -0.823 6.467
-1.946 -0.724 1.492
-3.696 1.437 4.682
```

(2)
Sc2GaS: optimized geometry, PBE.

## Properties
DOS at the Fermi energy: 0.92 states/eV per atom
Magnetization: 0.00 Bohr magnetons per cell

```
Sc2GaS
1.0
-6.263 6.168 1.142
-4.640 6.275 4.203
-3.378 8.055 1.510
Sc S Ga
2 1 1
Cartesian
-1.539 2.210 0.739
-12.742 18.288 6.116
-7.141 10.249 3.427
0.000 0.000 0.000
```

Each structure's energy above the most stable one, in meV per atom: (1) 0; (2) 380.

(1)
ScGaS3: optimized geometry, PBE.

## Properties
DOS at the Fermi energy: 1.39 states/eV per atom
Magnetization: 0.92 Bohr magnetons per cell

```
ScGaS3
1.0
4.969 0.000 0.000
0.000 4.969 0.000
0.000 0.000 4.969
S Ga Sc
3 1 1
Cartesian
0.000 0.000 2.484
2.484 0.000 0.000
0.000 2.484 0.000
2.484 2.484 2.484
0.000 0.000 0.000
```

(2)
ScGaS3: optimized geometry, PBE.

## Properties
Magnetization: 0.00 Bohr magnetons per cell

```
ScGaS3
1.0
-3.582 0.265 -1.012
-2.085 -0.953 7.129
-1.915 7.656 1.909
S Ga Sc
6 2 2
Cartesian
-4.509 4.547 1.357
-4.224 6.534 7.746
-3.946 3.328 5.923
-3.325 6.011 4.430
-1.688 1.562 4.344
-2.622 1.561 0.769
-1.170 0.597 2.257
-4.464 4.293 8.010
-3.988 0.697 5.377
-5.228 4.458 3.878
```

(3)
ScGaS3: optimized geometry, PBE.

## Properties
Magnetization: 0.00 Bohr magnetons per cell

```
ScGaS3
1.0
3.718 0.000 0.000
0.000 6.545 0.215
0.000 -2.971 5.836
S Sc Ga
3 1 1
Cartesian
1.859 2.242 4.708
0.000 -1.052 4.703
1.859 0.534 1.816
0.000 1.128 3.415
1.859 -2.213 5.389
```

Each structure's energy above the most stable one, in meV per atom: (1) 688; (2) 0; (3) 25.

(1)
GaSeS3: optimized geometry, PBE.

## Properties
DOS at the Fermi energy: 0.61 states/eV per atom
Magnetization: 0.00 Bohr magnetons per cell

```
GaSeS3
1.0
-2.946 -2.098 -3.073
-0.017 -6.223 4.271
-5.230 2.415 3.497
Ga S Se
2 6 2
Cartesian
-5.245 -2.981 4.709
-4.104 -5.188 1.389
-2.283 -5.203 4.522
-2.004 -6.768 1.919
-6.362 -2.158 2.755
-0.129 -3.048 2.113
-3.138 -1.927 3.430
-4.225 -5.192 3.904
-7.098 -5.868 3.830
-2.999 -2.862 1.447
```

(2)
GaSeS3: optimized geometry, PBE.

## Properties
DOS at the Fermi energy: 1.13 states/eV per atom
Magnetization: 0.00 Bohr magnetons per cell

```
GaSeS3
1.0
-4.824 -0.419 -0.092
0.229 -1.629 -4.555
0.363 -4.541 1.642
Ga S Se
1 3 1
Cartesian
-2.116 -3.294 -1.502
-2.412 -0.209 -0.046
0.181 -2.271 0.821
0.114 -0.814 -2.277
0.000 0.000 0.000
```

Each structure's energy above the most stable one, in meV per atom: (1) 0; (2) 571.

(1)
GaSe2S: optimized geometry, PBE.

## Properties
DOS at the Fermi energy: 0.39 states/eV per atom
Magnetization: 0.00 Bohr magnetons per cell

```
GaSe2S
1.0
-8.227 -3.822 -0.042
-6.458 -6.033 2.049
-7.837 -3.079 3.377
Se Ga S
2 1 1
Cartesian
-20.133 -11.562 4.813
-2.390 -1.372 0.571
0.000 0.000 0.000
-11.261 -6.467 2.692
```

(2)
GaSe2S: optimized geometry, PBE.

## Properties
DOS at the Fermi energy: 0.72 states/eV per atom
Magnetization: 0.00 Bohr magnetons per cell

```
GaSe2S
1.0
0.000 3.355 3.355
3.355 0.000 3.355
3.355 3.355 0.000
S Se Ga
1 2 1
Cartesian
0.000 0.000 0.000
1.677 1.677 1.677
5.032 5.032 5.032
3.355 3.355 3.355
```

(3)
GaSe2S: optimized geometry, PBE.

## Properties
DOS at the Fermi energy: 0.48 states/eV per atom
Magnetization: 0.00 Bohr magnetons per cell

```
GaSe2S
1.0
2.189 0.000 7.701
-1.095 1.896 7.701
-1.095 -1.896 7.701
Ga S Se
1 1 2
Cartesian
0.000 0.000 11.552
0.000 0.000 0.000
0.000 0.000 2.387
0.000 0.000 20.716
```

(4)
GaSe2S: optimized geometry, PBE.

## Properties
DOS at the Fermi energy: 0.96 states/eV per atom
Magnetization: 0.00 Bohr magnetons per cell

```
GaSe2S
1.0
-4.252 -4.386 2.705
5.032 -2.777 3.407
-0.345 -0.801 6.408
Ga Se S
2 4 2
Cartesian
-2.104 -4.384 6.085
0.000 0.000 0.000
-2.205 -3.381 3.776
-0.073 -3.228 7.026
2.617 -2.391 4.012
0.529 -6.926 10.226
0.390 -3.581 3.056
2.538 -3.579 6.435
```

Each structure's energy above the most stable one, in meV per atom: (1) 394; (2) 450; (3) 0; (4) 160.